Below is a geometry-optimized RbTbSn2I8 structure, with properties calculated at the PBE level.

Cell and atoms, written as POSCAR:
```
RbTbSn2I8
1.0
7.818 0.056 0.003
0.110 7.342 0.000
0.017 0.022 9.744
I Tb Rb Sn
8 1 1 2
Direct
0.675 0.763 0.000
0.157 0.747 0.784
0.325 0.237 0.000
0.622 0.730 0.499
0.843 0.253 0.216
0.378 0.270 0.501
0.844 0.253 0.783
0.156 0.747 0.217
0.000 0.000 0.000
0.000 0.000 0.500
0.500 0.500 0.750
0.500 0.500 0.250
```

Values from the calculation:
Its space group is P-1 (2). As for the calculated total energy: -37.02 eV/cell. As for the volume: 559 Å³/cell. Its formation energy (no corrections) is -0.92 eV/atom.